1.
# DyIn2Pd5 PBE-GGA optimized geometry
# calculated formation energy: -0.63 eV per atom
# M_tot: 0.00 μB/f.u.
# Fermi-level density of states: 3.22 states/eV/f.u.
# E: -5.1395 eV per atom
data_DyIn2Pd5
_symmetry_space_group_name_H-M 'F m m m'
_symmetry_Int_Tables_number 69
_symmetry_space_group_name_Hall '-F 2 2'
_cell_length_a 5.959
_cell_length_b 8.004
_cell_length_c 12.061
_cell_angle_alpha 90.00
_cell_angle_beta 90.00
_cell_angle_gamma 90.00
loop_
_atom_site_label
_atom_site_fract_x
_atom_site_fract_y
_atom_site_fract_z
Dy1 0.000 0.000 0.000
In1 0.000 0.000 0.270
Pd1 0.000 0.000 0.500
Pd2 0.250 0.250 0.128

---

2.
# B3PdRh PBE-GGA optimized geometry
# offset from the most stable computed form: 0.00 eV/f.u.
# calculated formation energy: 1.03 eV per atom
# M_tot: 0.00 μB/f.u.
# Fermi-level density of states: 1.75 states/eV/f.u.
# E: -5.4894 eV per atom
data_B3PdRh
_symmetry_space_group_name_H-M 'P m -3 m'
_symmetry_Int_Tables_number 221
_symmetry_space_group_name_Hall '-P 4 2 3'
_cell_length_a 4.023
_cell_length_b 4.023
_cell_length_c 4.023
_cell_angle_alpha 90.00
_cell_angle_beta 90.00
_cell_angle_gamma 90.00
loop_
_atom_site_label
_atom_site_fract_x
_atom_site_fract_y
_atom_site_fract_z
B1 0.000 0.000 0.500
Pd1 0.500 0.500 0.500
Rh1 0.000 0.000 0.000

---

3.
# Rb2I2O5 PBE-GGA optimized geometry
# M_tot: 0.00 μB/f.u.
# Fermi-level density of states: 1.72 states/eV/f.u.
# formation energy without anion corrections: -0.68 eV per atom
# E: -3.9933 eV per atom
data_Rb2I2O5
_symmetry_space_group_name_H-M 'C 1 2/m 1'
_symmetry_Int_Tables_number 12
_cell_length_a 13.881
_cell_length_b 4.194
_cell_length_c 6.854
_cell_angle_alpha 90.00
_cell_angle_beta 106.88
_cell_angle_gamma 90.00
loop_
_symmetry_equiv_pos_as_xyz
'x,y,z'
'-x,-y,-z'
'-x,y,-z'
'x,-y,z'
'x+1/2,y+1/2,z'
'-x+1/2,-y+1/2,-z'
'-x+1/2,y+1/2,-z'
'x+1/2,-y+1/2,z'
loop_
_atom_site_label
_atom_site_fract_x
_atom_site_fract_y
_atom_site_fract_z
Rb1 0.119 0.000 0.318
I1 0.120 0.500 0.853
O1 0.000 0.500 0.000
O2 0.119 0.000 0.868
O3 0.156 0.500 0.609

---

4.
# RbYTa2I PBE-GGA optimized geometry
# M_tot: 0.00 μB/f.u.
# Fermi-level density of states: 5.07 states/eV/f.u.
# formation energy without anion corrections: 2.37 eV per atom
# E: -4.1703 eV per atom
data_RbYTa2I
_symmetry_space_group_name_H-M 'P 4/m m m'
_symmetry_Int_Tables_number 123
_symmetry_space_group_name_Hall '-P 4 2'
_cell_length_a 4.932
_cell_length_b 4.932
_cell_length_c 6.007
_cell_angle_alpha 90.00
_cell_angle_beta 90.00
_cell_angle_gamma 90.00
loop_
_atom_site_label
_atom_site_fract_x
_atom_site_fract_y
_atom_site_fract_z
Rb1 0.000 0.000 0.000
Y1 0.500 0.500 0.500
Ta1 0.000 0.500 0.000
I1 0.000 0.000 0.500

---

5.
# Tb3Dy2Tl6 PBE-GGA optimized geometry
# calculated formation energy: -0.04 eV per atom
# M_tot: 0.00 μB/f.u.
# Fermi-level density of states: 8.38 states/eV/f.u.
# E: -3.4306 eV per atom
data_Tb3Dy2Tl6
_symmetry_space_group_name_H-M 'I 4/m m m'
_symmetry_Int_Tables_number 139
_symmetry_space_group_name_Hall '-I 4 2'
_cell_length_a 4.739
_cell_length_b 4.739
_cell_length_c 29.599
_cell_angle_alpha 90.00
_cell_angle_beta 90.00
_cell_angle_gamma 90.00
loop_
_atom_site_label
_atom_site_fract_x
_atom_site_fract_y
_atom_site_fract_z
Tb1 0.000 0.000 0.000
Tb2 0.000 0.000 0.200
Dy1 0.000 0.000 0.447
Tl1 0.000 0.000 0.304
Tl2 0.000 0.500 0.119

---

6.
# Pm2Zn7 PBE-GGA optimized geometry
# calculated formation energy: -0.30 eV per atom
# M_tot: 0.00 μB/f.u.
# Fermi-level density of states: 4.74 states/eV/f.u.
# E: -2.3486 eV per atom
data_Pm2Zn7
_symmetry_space_group_name_H-M 'R -3 m'
_symmetry_Int_Tables_number 166
_symmetry_space_group_name_Hall '-R 3 2"'
_cell_length_a 5.4829
_cell_length_b 5.4829
_cell_length_c 38.6420
_cell_angle_alpha 90.00
_cell_angle_beta 90.00
_cell_angle_gamma 120.00
loop_
_atom_site_label
_atom_site_fract_x
_atom_site_fract_y
_atom_site_fract_z
Pm1 0.0000 0.0000 0.0515
Pm2 0.0000 0.0000 0.1490
Zn1 0.0000 0.0000 0.2790
Zn2 0.0000 0.0000 0.3886
Zn3 0.0000 0.0000 0.5000
Zn4 0.0000 0.5000 0.0000
Zn5 0.0031 0.5015 0.8907

---

7.
# Ac12InGe5 PBE-GGA optimized geometry
# calculated formation energy: -0.46 eV per atom
# M_tot: 0.00 μB/f.u.
# Fermi-level density of states: 15.03 states/eV/f.u.
# E: -4.6355 eV per atom
data_Ac12InGe5
_symmetry_space_group_name_H-M 'I m m m'
_symmetry_Int_Tables_number 71
_symmetry_space_group_name_Hall '-I 2 2'
_cell_length_a 10.633
_cell_length_b 10.788
_cell_length_c 11.242
_cell_angle_alpha 90.00
_cell_angle_beta 90.00
_cell_angle_gamma 90.00
loop_
_atom_site_label
_atom_site_fract_x
_atom_site_fract_y
_atom_site_fract_z
Ac1 0.000 0.196 0.236
Ac2 0.205 0.500 0.176
Ac3 0.229 0.323 0.500
In1 0.000 0.000 0.500
Ge1 0.000 0.000 0.000
Ge2 0.000 0.372 0.000
Ge3 0.000 0.500 0.385

---

8.
# ErFeCo PBE-GGA optimized geometry
# calculated formation energy: -0.21 eV per atom
# M_tot: 2.90 μB/f.u.
# Fermi-level density of states: 2.21 states/eV/f.u.
# E: -6.9182 eV per atom
data_ErFeCo
_symmetry_space_group_name_H-M 'I m m a'
_symmetry_Int_Tables_number 74
_symmetry_space_group_name_Hall '-I 2b 2'
_cell_length_a 5.062
_cell_length_b 5.206
_cell_length_c 7.064
_cell_angle_alpha 90.00
_cell_angle_beta 90.00
_cell_angle_gamma 90.00
loop_
_atom_site_label
_atom_site_fract_x
_atom_site_fract_y
_atom_site_fract_z
Er1 0.000 0.250 0.126
Fe1 0.250 0.250 0.750
Co1 0.000 0.000 0.500

---

9.
# LiEr2Tm PBE-GGA optimized geometry
# offset from the most stable computed form: 0.39 eV/f.u.
# calculated formation energy: 0.17 eV per atom
# M_tot: 0.00 μB/f.u.
# Fermi-level density of states: 2.59 states/eV/f.u.
# E: -3.7058 eV per atom
data_LiEr2Tm
_symmetry_space_group_name_H-M 'F m -3 m'
_symmetry_Int_Tables_number 225
_symmetry_space_group_name_Hall '-F 4 2 3'
_cell_length_a 7.637
_cell_length_b 7.637
_cell_length_c 7.637
_cell_angle_alpha 90.00
_cell_angle_beta 90.00
_cell_angle_gamma 90.00
loop_
_atom_site_label
_atom_site_fract_x
_atom_site_fract_y
_atom_site_fract_z
Li1 0.000 0.000 0.000
Er1 0.250 0.250 0.250
Tm1 0.000 0.000 0.500

---

10.
# Sc3Al2Hg4 PBE-GGA optimized geometry
# calculated formation energy: -0.35 eV per atom
# M_tot: 0.00 μB/f.u.
# Fermi-level density of states: 5.35 states/eV/f.u.
# E: -3.4238 eV per atom
data_Sc3Al2Hg4
_symmetry_space_group_name_H-M 'C 1 2/m 1'
_symmetry_Int_Tables_number 12
_cell_length_a 10.556
_cell_length_b 4.660
_cell_length_c 8.702
_cell_angle_alpha 90.00
_cell_angle_beta 118.96
_cell_angle_gamma 90.00
loop_
_symmetry_equiv_pos_as_xyz
'x,y,z'
'-x,-y,-z'
'-x,y,-z'
'x,-y,z'
'x+1/2,y+1/2,z'
'-x+1/2,-y+1/2,-z'
'-x+1/2,y+1/2,-z'
'x+1/2,-y+1/2,z'
loop_
_atom_site_label
_atom_site_fract_x
_atom_site_fract_y
_atom_site_fract_z
Sc1 0.000 0.000 0.000
Sc2 0.164 0.500 0.672
Al1 0.108 0.500 0.278
Hg1 0.086 0.000 0.412
Hg2 0.189 0.500 0.032

---

11.
# YIn3W PBE-GGA optimized geometry
# offset from the most stable computed form: 0.00 eV/f.u.
# calculated formation energy: 0.49 eV per atom
# M_tot: 0.00 μB/f.u.
# Fermi-level density of states: 4.21 states/eV/f.u.
# E: -5.0358 eV per atom
data_YIn3W
_symmetry_space_group_name_H-M 'P m -3 m'
_symmetry_Int_Tables_number 221
_symmetry_space_group_name_Hall '-P 4 2 3'
_cell_length_a 5.228
_cell_length_b 5.228
_cell_length_c 5.228
_cell_angle_alpha 90.00
_cell_angle_beta 90.00
_cell_angle_gamma 90.00
loop_
_atom_site_label
_atom_site_fract_x
_atom_site_fract_y
_atom_site_fract_z
Y1 0.000 0.000 0.000
In1 0.000 0.500 0.500
W1 0.500 0.500 0.500